Entry 1:
A plane-wave DFT calculation with PBE-GGA was carried out for LiSm5Y4 after structural relaxation.

calculated volume	31.9	A^3/atom
Fermi-level density of states	14.8	states/eV/f.u.
E_form	0.38	eV per formula unit
symmetry	No. 123

a = 3.619 Å, b = 3.619 Å, c = 24.344 Å
α = 90.00°, β = 90.00°, γ = 90.00°
Fractional coordinates of all 10 atoms:
Li  0.000  0.000  0.000
Sm  0.500  0.500  0.085
Sm  0.500  0.500  0.292
Sm  0.500  0.500  0.500
Sm  0.500  0.500  0.708
Sm  0.500  0.500  0.915
Y  0.000  0.000  0.188
Y  0.000  0.000  0.396
Y  0.000  0.000  0.604
Y  0.000  0.000  0.812

Entry 2:
A plane-wave DFT calculation with PBE-GGA was carried out for Li4SmY after structural relaxation.

calculated volume	24.0	A^3/atom
Fermi-level density of states	5.8	states/eV/f.u.
E_form	0.65	eV per formula unit
symmetry	No. 216

a = 5.885 Å, b = 5.885 Å, c = 5.885 Å
α = 60.00°, β = 60.00°, γ = 60.00°
Fractional coordinates of all 6 atoms:
Y  0.000  0.000  0.000
Sm  0.250  0.250  0.250
Li  0.625  0.625  0.124
Li  0.625  0.124  0.625
Li  0.625  0.625  0.625
Li  0.124  0.625  0.625

Entry 3:
A plane-wave DFT calculation with PBE-GGA was carried out for LiSm2Y after structural relaxation.

energy above the most stable polymorph in this dataset	10	meV per atom
calculated volume	31.1	A^3/atom
Fermi-level density of states	3.4	states/eV/f.u.
E_form	0.31	eV per formula unit
symmetry	No. 160

a = 3.554 Å, b = 3.554 Å, c = 11.568 Å
α = 81.15°, β = 81.15°, γ = 59.95°
Fractional coordinates of all 4 atoms:
Li  0.500  0.500  0.500
Sm  0.085  0.085  0.745
Sm  0.249  0.249  0.255
Y  0.667  0.667  0.000

Entry 4:
A plane-wave DFT calculation with PBE-GGA was carried out for LiSmY after structural relaxation.

energy above the most stable polymorph in this dataset	61	meV per atom
calculated volume	30.0	A^3/atom
Fermi-level density of states	3.4	states/eV/f.u.
E_form	0.32	eV per formula unit
symmetry	No. 156

a = 3.523 Å, b = 3.523 Å, c = 8.378 Å
α = 90.00°, β = 90.00°, γ = 120.00°
Fractional coordinates of all 3 atoms:
Y  0.333  0.667  0.672
Sm  0.667  0.333  0.330
Li  0.000  0.000  0.998